A.
PrSmThMg: optimized geometry, PBE.

abc: 5.630 5.630 5.630
angles: 60.00 60.00 60.00
Element x y z (fractional)
Pr  0.250  0.250  0.250
Mg  0.000  0.000  0.000
Sm  0.750  0.750  0.750
Th  0.500  0.500  0.500

- N(E_F): 1.601 states/eV/atom
- V: 31.55 Å³/atom
- Spin magnetization: 0.001 μB per atom

***

B.
PrSmThMg: optimized geometry, PBE.

abc: 3.648 3.648 9.418
angles: 90.00 90.00 90.00
Element x y z (fractional)
Pr  0.000  0.000  0.079
Sm  0.000  0.000  0.562
Th  0.500  0.500  0.818
Mg  0.500  0.500  0.326

- N(E_F): 0.908 states/eV/atom
- V: 31.34 Å³/atom
- Spin magnetization: 0.000 μB per atom

***

Relative to the most stable one, in eV/atom, the structures come out at A 0.191; B 0.000.

***

A.
PrSmTmMg: optimized geometry, PBE.

abc: 3.702 3.702 9.039
angles: 90.00 90.00 90.00
Element x y z (fractional)
Pr  0.000  0.000  0.373
Sm  0.000  0.000  0.840
Tm  0.500  0.500  0.103
Mg  0.500  0.500  0.612

- N(E_F): 1.288 states/eV/atom
- V: 30.96 Å³/atom
- Spin magnetization: 0.000 μB per atom

***

B.
PrSmTmMg: optimized geometry, PBE.

abc: 5.580 5.580 5.580
angles: 60.00 60.00 60.00
Element x y z (fractional)
Pr  0.250  0.250  0.250
Mg  0.000  0.000  0.000
Tm  0.500  0.500  0.500
Sm  0.750  0.750  0.750

- N(E_F): 1.050 states/eV/atom
- V: 30.72 Å³/atom
- Spin magnetization: 0.000 μB per atom

***

Relative to the most stable one, in eV/atom, the structures come out at A 0.000; B 0.038.